# Ca3MnSb | the Alexandria database | meta-GGA SCAN | PBEsol geometry
# Uncorrected formation energy ... 0.64 eV per formula unit
# Theoretical density ... 3.43 g/cm³
data_Ca3MnSb
_space_group_name_H-M_alt 'P m -3 m'
_space_group_IT_number 221
_space_group_name_Hall '-P 4 2 3'
_cell_length_a 5.239
_cell_length_b 5.239
_cell_length_c 5.239
_cell_angle_alpha 90.00
_cell_angle_beta 90.00
_cell_angle_gamma 90.00
loop_
_atom_site_label
_atom_site_type_symbol
_atom_site_fract_x
_atom_site_fract_y
_atom_site_fract_z
Ca1 Ca 0.000 0.000 0.500
Mn1 Mn 0.000 0.000 0.000
Sb1 Sb 0.500 0.500 0.500